# KYSe2

KYSe2 at its PBEsol-relaxed geometry (SCAN, the Alexandria database).

As for the formation energy from raw total energies: -1.81 eV/atom. The calculation puts the spin magnetization at 0.0 μB per formula unit. The calculated volume is 28.52 A^3/atom. The value obtained for the total energy is -20.891 eV/atom.

The structure belongs to space group Imm2 (No. 44); the cell edges are 3.7361, 3.9670 and 15.3967 Å and the angles 90.00°, 90.00° and 90.00°. Symmetry generates all atoms from K at (0.0000, 0.0000, 0.0000), Y at (0.0000, 0.5000, 0.7582), Se at (0.0000, 0.0000, 0.3886) and Se at (0.0000, 0.5000, 0.1823).


# KY3Se

KY3Se at its PBEsol-relaxed geometry (SCAN, the Alexandria database).

As for the formation energy from raw total energies: -0.29 eV/atom. The calculation puts the spin magnetization at 2.6 μB per formula unit. The calculated volume is 33.68 A^3/atom. The value obtained for the total energy is -22.682 eV/atom.

The structure belongs to space group Pm-3m (No. 221); the cell edges are 5.5223, 5.5223 and 5.5223 Å and the angles 90.00°, 90.00° and 90.00°. Symmetry generates all atoms from K at (0.0000, 0.0000, 0.0000), Y at (0.0000, 0.5000, 0.5000) and Se at (0.5000, 0.5000, 0.5000).